DFT (PBE) results for a relaxed Dy2AlAg3 crystal.

Output
crystal system = orthorhombic
E_form = -30.3 kJ per mole of atoms
energy above the most stable polymorph in this dataset = 0 meV per atom

a b c (Å): 9.460 8.890 5.803
angles (deg): 77.00 66.30 36.70
Fractional coordinates of all 12 atoms:
1 Dy 0.246 0.754 0.754
2 Dy 0.250 0.250 0.250
3 Dy 0.750 0.750 0.750
4 Dy 0.754 0.246 0.246
5 Al 0.333 0.333 0.667
6 Al 0.667 0.667 0.333
7 Ag 0.171 0.171 0.829
8 Ag 0.173 0.657 0.343
9 Ag 0.343 0.827 0.173
10 Ag 0.657 0.173 0.827
11 Ag 0.827 0.343 0.657
12 Ag 0.829 0.829 0.171